Entry 1:
Density functional theory data (GGA-PBE) for crystalline PuUIrRu at its relaxed geometry.

POSCAR file:
```
PuUIrRu
1.0
0.000 3.265 3.265
3.265 0.000 3.265
3.265 3.265 0.000
Pu U Ir Ru
1 1 1 1
direct
0.000 0.000 0.000
0.750 0.750 0.750
0.500 0.500 0.500
0.250 0.250 0.250
```

Results
As for the total energy: -11.305 eV/atom. The distance to the lowest polymorph of the same formula comes out at 5 meV per atom. The formation energy comes out at -0.37 eV per atom.

Entry 2:
Density functional theory data (GGA-PBE) for crystalline GaRuF2 at its relaxed geometry.

POSCAR file:
```
GaRuF2
1.0
0.000 3.035 3.035
3.035 0.000 3.035
3.035 3.035 0.000
Ga Ru F
1 1 2
direct
0.000 0.000 0.000
0.500 0.500 0.500
0.250 0.250 0.250
0.750 0.750 0.750
```

Results
As for the total energy: -4.533 eV/atom. The raw formation energy is -0.521 eV per atom. The distance to the lowest polymorph of the same formula comes out at 451 meV per atom.

Entry 3:
Density functional theory data (GGA-PBE) for crystalline MgTl2Te at its relaxed geometry.

POSCAR file:
```
MgTl2Te
1.0
4.481 0.000 0.000
0.000 4.481 0.000
0.000 0.000 5.875
Mg Tl Te
1 2 1
direct
0.000 0.000 0.000
0.000 0.500 0.500
0.500 0.000 0.500
0.500 0.500 0.000
```

Results
As for the total energy: -2.518 eV/atom. The raw formation energy is -0.151 eV per atom. The distance to the lowest polymorph of the same formula comes out at 85 meV per atom.

Entry 4:
Density functional theory data (GGA-PBE) for crystalline LaNiGeN at its relaxed geometry.

POSCAR file:
```
LaNiGeN
1.0
3.865 0.000 0.000
0.000 3.865 0.000
0.000 0.000 8.700
La Ni Ge N
2 2 2 2
direct
0.250 0.250 0.152
0.750 0.750 0.848
0.250 0.750 0.500
0.750 0.250 0.500
0.250 0.250 0.653
0.750 0.750 0.347
0.250 0.250 0.876
0.750 0.750 0.124
```

Results
As for the total energy: -6.788 eV/atom. The raw formation energy is -0.875 eV per atom.

Entry 5:
Density functional theory data (GGA-PBE) for crystalline Be3BiAs at its relaxed geometry.

POSCAR file:
```
Be3BiAs
1.0
4.710 0.000 0.000
0.000 4.710 0.000
0.000 0.000 4.710
Be Bi As
3 1 1
direct
0.000 0.000 0.500
0.000 0.500 0.000
0.500 0.000 0.000
0.000 0.000 0.000
0.500 0.500 0.500
```

Results
As for the total energy: -2.523 eV/atom. The distance to the lowest polymorph of the same formula comes out at 718 meV per atom. The formation energy comes out at 1.42 eV per atom.

Entry 6:
Density functional theory data (GGA-PBE) for crystalline La2YBi at its relaxed geometry.

POSCAR file:
```
La2YBi
1.0
4.945 0.000 0.000
0.000 4.945 0.000
0.000 0.000 5.139
La Y Bi
2 1 1
direct
0.000 0.500 0.000
0.500 0.000 0.000
0.000 0.000 0.500
0.500 0.500 0.500
```

Results
As for the total energy: -5.503 eV/atom. The formation energy comes out at -0.45 eV per atom.

Entry 7:
Density functional theory data (GGA-PBE) for crystalline PmNdHo2Te6 at its relaxed geometry.

POSCAR file:
```
PmNdHo2Te6
1.0
3.903 2.254 7.062
-3.903 2.254 7.062
0.000 -4.507 7.062
Pm Nd Ho Te
1 1 2 6
direct
0.000 0.000 0.000
0.501 0.501 0.501
0.311 0.311 0.311
0.811 0.811 0.811
0.082 0.705 0.418
0.202 0.583 0.921
0.418 0.082 0.705
0.583 0.921 0.202
0.705 0.418 0.082
0.921 0.202 0.583
```

Results
As for the total energy: -5.119 eV/atom. The raw formation energy is -1.366 eV per atom.

Entry 8:
Density functional theory data (GGA-PBE) for crystalline CeSnPt3 at its relaxed geometry.

POSCAR file:
```
CeSnPt3
1.0
5.423 0.000 0.000
0.000 7.856 0.000
0.000 0.000 5.308
Ce Sn Pt
2 2 6
direct
0.000 0.000 0.000
0.500 0.500 0.000
0.000 0.500 0.500
0.500 0.000 0.500
0.000 0.500 0.000
0.058 0.171 0.500
0.442 0.671 0.500
0.500 0.000 0.000
0.558 0.329 0.500
0.942 0.829 0.500
```

Results
As for the total energy: -6.164 eV/atom. The formation energy comes out at -0.55 eV per atom.

Entry 9:
Density functional theory data (GGA-PBE) for crystalline NbPdSeN2 at its relaxed geometry.

POSCAR file:
```
NbPdSeN2
1.0
3.955 0.000 0.000
0.000 3.955 0.000
0.000 0.000 4.839
Nb Pd Se N
1 1 1 2
direct
0.000 0.000 0.000
0.500 0.500 0.500
0.500 0.500 0.000
0.000 0.500 0.500
0.500 0.000 0.500
```

Results
As for the total energy: -5.652 eV/atom. The raw formation energy is 1.427 eV per atom. The distance to the lowest polymorph of the same formula comes out at 973 meV per atom.

Entry 10:
Density functional theory data (GGA-PBE) for crystalline Sr6Li2Ca at its relaxed geometry.

POSCAR file:
```
Sr6Li2Ca
1.0
6.570 -3.007 0.000
6.570 3.007 0.000
-5.798 0.000 10.484
Sr Li Ca
6 2 1
direct
0.065 0.065 0.371
0.297 0.297 0.754
0.352 0.352 0.126
0.648 0.648 0.874
0.703 0.703 0.246
0.935 0.935 0.629
0.372 0.372 0.439
0.628 0.628 0.561
0.000 0.000 0.000
```

Results
As for the total energy: -1.741 eV/atom. The distance to the lowest polymorph of the same formula comes out at 0 meV per atom. The formation energy comes out at 0.03 eV per atom.

Entry 11:
Density functional theory data (GGA-PBE) for crystalline NaSr3Pt at its relaxed geometry.

POSCAR file:
```
NaSr3Pt
1.0
5.696 -6.357 0.000
5.696 6.357 0.000
0.000 0.000 5.995
Na Sr Pt
2 6 2
direct
0.244 0.756 0.750
0.756 0.244 0.250
0.047 0.303 0.750
0.303 0.047 0.250
0.500 0.500 0.000
0.500 0.500 0.500
0.697 0.953 0.750
0.953 0.697 0.250
0.027 0.973 0.750
0.973 0.027 0.250
```

Results
As for the total energy: -2.382 eV/atom. The distance to the lowest polymorph of the same formula comes out at 536 meV per atom. The formation energy comes out at 0.10 eV per atom.

Entry 12:
Density functional theory data (GGA-PBE) for crystalline PaAlW at its relaxed geometry.

POSCAR file:
```
PaAlW
1.0
-1.626 1.626 5.651
1.626 -1.626 5.651
1.626 1.626 -5.651
Pa Al W
1 1 1
direct
0.000 0.000 0.000
0.289 0.289 0.000
0.664 0.664 0.000
```

Results
As for the total energy: -8.548 eV/atom. The distance to the lowest polymorph of the same formula comes out at 283 meV per atom. The formation energy comes out at 0.18 eV per atom.